[1]
Entry from Alexandria: an optimized crystal structure of CuSb2Ir (PBE-GGA).

distance to the lowest polymorph of the same formula = 2.6 kJ per mole of atoms
space-group type = Cm (8)

a = 4.491 Å, b = 4.491 Å, c = 6.363 Å
α = 71.80°, β = 71.80°, γ = 46.46°
Fractional coordinates of all 4 atoms:
Sb 0.741 0.741 0.637
Sb 0.006 0.006 0.099
Ir 0.252 0.252 0.301
Cu 0.501 0.501 0.463

[2]
Entry from Alexandria: an optimized crystal structure of La2Pm7Ho3 (PBE-GGA).

space-group type = P2/m (10)
energy of formation = 68 meV per atom

a = 3.580 Å, b = 6.478 Å, c = 18.266 Å
α = 75.30°, β = 90.00°, γ = 90.00°
Fractional coordinates of all 12 atoms:
Pm 0.500 0.061 0.168
Pm 0.500 0.939 0.832
Pm 0.000 0.441 0.837
Pm 0.000 0.000 0.000
Pm 0.000 0.559 0.163
Pm 0.500 0.238 0.503
Pm 0.500 0.762 0.497
Ho 0.000 0.887 0.659
Ho 0.000 0.113 0.341
Ho 0.500 0.500 0.000
La 0.500 0.611 0.330
La 0.500 0.389 0.670

[3]
Entry from Alexandria: an optimized crystal structure of Pm3Sn2Pb (PBE-GGA).

distance to the lowest polymorph of the same formula = 0.2 kJ per mole of atoms
space-group type = P4/mmm (123)
energy of formation = -620 meV per atom

a = 3.544 Å, b = 3.544 Å, c = 13.677 Å
α = 90.00°, β = 90.00°, γ = 90.00°
Fractional coordinates of all 6 atoms:
Pm 0.000 0.000 0.675
Pm 0.000 0.000 0.325
Pm 0.000 0.000 0.000
Sn 0.500 0.500 0.164
Sn 0.500 0.500 0.836
Pb 0.500 0.500 0.500

For each record above, in turn, the calculated size of the total moment values are 0.00, 0.00, 0.00 μB per atom.